## Sb2WAu (PBE)

Data for a relaxed structure of Sb2WAu.

Geometry as CIF:
```
data_Sb2WAu
_chemical_formula_sum 'Sb2 W1 Au1'
_cell_length_a 5.631
_cell_length_b 5.631
_cell_length_c 3.279
_cell_angle_alpha 105.96
_cell_angle_beta 105.96
_cell_angle_gamma 111.86
_space_group_name_H-M_alt 'P 1'
_space_group_IT_number 1
loop_
_space_group_symop_operation_xyz
'x,y,z'
loop_
_atom_site_label
_atom_site_type_symbol
_atom_site_fract_x
_atom_site_fract_y
_atom_site_fract_z
Sb1 Sb 0.000 0.500 0.000
Sb2 Sb 0.500 0.000 0.000
W1 W 0.000 0.000 0.500
Au1 Au 0.500 0.500 0.500
```

## Properties
excess energy over the best structure of this formula in the dataset = 417 meV per atom
DOS(E_F) = 3.02 states/eV/f.u.
total DFT energy (no corrections) = -5.372 eV/atom
formation energy from raw total energies = 0.7464 eV/atom